1.
DFT (PBE) results for a relaxed Ta2NbBiO crystal.

Properties
- M_tot: 0.00 μB per atom
- ΔE_f (raw): -1.68 eV per formula unit
- DOS at the Fermi energy: 1.41 states/eV per cell

a = 4.3374 Å, b = 4.4237 Å, c = 4.3374 Å
α = 90.00°, β = 90.00°, γ = 90.00°
Element x y z (fractional)
1 Nb 0.0000 0.5000 0.0000
2 Bi 0.5000 0.5000 0.5000
3 O 0.0000 0.0000 0.0000
4 Ta 0.0000 0.0000 0.5000
5 Ta 0.5000 0.0000 0.0000



2.
DFT (PBE) results for a relaxed NbTcBiO2 crystal.

Properties
- M_tot: 0.49 μB per atom
- ΔE_f (raw): -0.34 eV per formula unit
- DOS at the Fermi energy: 4.08 states/eV per cell

a = 3.9129 Å, b = 6.0342 Å, c = 3.9129 Å
α = 90.00°, β = 90.00°, γ = 90.00°
Last column: magnetic moment on the atom in μB.
Element x y z (fractional)
1 Nb 0.5000 0.5000 0.5000  1.82
2 Bi 0.0000 0.5000 0.0000  -0.07
3 O 0.0000 0.0000 0.5000  0.02
4 O 0.5000 0.0000 0.0000  0.01
5 Tc 0.0000 0.0000 0.0000  0.29



3.
DFT (PBE) results for a relaxed TiNbBi3O9 crystal.

Properties
- M_tot: 0.00 μB per atom
- ΔE_f (raw): -27.86 eV per formula unit
- DOS at the Fermi energy: 0.00 states/eV per cell

a = 5.5513 Å, b = 5.4689 Å, c = 13.0724 Å
α = 78.43°, β = 90.00°, γ = 90.00°
Element x y z (fractional)
1 Ti 0.0446 0.6669 0.1716
2 Ti 0.5446 0.3331 0.8284
3 Nb 0.0484 0.8271 0.8278
4 Nb 0.5484 0.1729 0.1722
5 Bi 0.9986 0.2495 0.0015
6 Bi 0.4986 0.7505 0.9985
7 Bi 0.9669 0.0205 0.4002
8 Bi 0.9556 0.4262 0.6016
9 Bi 0.4669 0.9795 0.5998
10 Bi 0.4556 0.5738 0.3984
11 O 0.0648 0.6737 0.3089
12 O 0.0561 0.9781 0.6856
13 O 0.5648 0.3263 0.6911
14 O 0.5561 0.0219 0.3144
15 O 0.0956 0.6680 0.0000
16 O 0.5956 0.3320 0.0000
17 O 0.2907 0.9735 0.1255
18 O 0.2935 0.0948 0.8736
19 O 0.7907 0.0265 0.8745
20 O 0.7935 0.9052 0.1264
21 O 0.3668 0.4711 0.1729
22 O 0.3708 0.6336 0.8280
23 O 0.8668 0.5289 0.8271
24 O 0.8708 0.3664 0.1720
25 O 0.2371 0.2613 0.4983
26 O 0.2370 0.7600 0.5012
27 O 0.7371 0.7387 0.5017
28 O 0.7370 0.2400 0.4988



4.
DFT (PBE) results for a relaxed TiNbBiO6 crystal.

Properties
- M_tot: 0.00 μB per atom
- ΔE_f (raw): -21.34 eV per formula unit
- DOS at the Fermi energy: 0.00 states/eV per cell

a = 5.2712 Å, b = 5.2712 Å, c = 9.9847 Å
α = 90.00°, β = 90.00°, γ = 120.00°
Element x y z (fractional)
1 Ti 0.3333 0.6667 0.2500
2 Ti 0.6667 0.3333 0.7500
3 Nb 0.6667 0.3333 0.2500
4 Nb 0.3333 0.6667 0.7500
5 Bi 0.0000 0.0000 0.0000
6 Bi 0.0000 0.0000 0.5000
7 O 0.6301 0.6354 0.1410
8 O 0.0052 0.3699 0.1410
9 O 0.3699 0.0052 0.6410
10 O 0.9948 0.6301 0.8590
11 O 0.3646 0.3699 0.3590
12 O 0.0052 0.6354 0.3590
13 O 0.6354 0.0052 0.8590
14 O 0.6301 0.9948 0.3590
15 O 0.9948 0.3646 0.6410
16 O 0.3646 0.9948 0.1410
17 O 0.6354 0.6301 0.6410
18 O 0.3699 0.3646 0.8590



5.
DFT (PBE) results for a relaxed TiNbBiO6 crystal.

Properties
- M_tot: 0.00 μB per atom
- ΔE_f (raw): -21.46 eV per formula unit
- DOS at the Fermi energy: 0.00 states/eV per cell

a = 5.3703 Å, b = 6.9942 Å, c = 7.6618 Å
α = 67.90°, β = 69.73°, γ = 81.77°
Element x y z (fractional)
1 Ti 0.2869 0.8763 0.4798
2 Ti 0.8007 0.8850 0.9637
3 Nb 0.7106 0.1210 0.5244
4 Nb 0.2068 0.1113 0.0382
5 Bi 0.7412 0.5076 0.7471
6 Bi 0.2766 0.5255 0.2437
7 O 0.1569 0.6179 0.5541
8 O 0.8434 0.3871 0.4369
9 O 0.0150 0.0406 0.3258
10 O 0.9852 0.9442 0.6821
11 O 0.2939 0.3734 0.0176
12 O 0.6950 0.6313 0.9854
13 O 0.5592 0.8125 0.5905
14 O 0.4347 0.1832 0.4088
15 O 0.4722 0.8947 0.1899
16 O 0.5263 0.0981 0.8096
17 O 0.9260 0.1824 0.9294
18 O 0.0693 0.8079 0.0732



6.
DFT (PBE) results for a relaxed TiNbBi3O9 crystal.

Properties
- M_tot: 0.00 μB per atom
- ΔE_f (raw): -26.93 eV per formula unit
- DOS at the Fermi energy: 0.00 states/eV per cell

a = 13.0029 Å, b = 13.0029 Å, c = 13.0029 Å
α = 162.88°, β = 162.88°, γ = 24.30°
Element x y z (fractional)
1 Nb 0.5872 0.5872 0.0000
2 Bi 0.2015 0.2015 0.0000
3 Bi 0.8016 0.8016 0.0000
4 Bi 0.9879 0.9879 0.0000
5 O 0.3406 0.3406 0.0000
6 O 0.6627 0.6627 0.0000
7 O 0.0761 0.5761 0.5000
8 O 0.4260 0.9260 0.5000
9 O 0.9260 0.4260 0.5000
10 O 0.5761 0.0761 0.5000
11 O 0.4997 0.4997 0.0000
12 O 0.2517 0.7517 0.5000
13 O 0.7517 0.2517 0.5000
14 Ti 0.4112 0.4112 0.0000



7.
DFT (PBE) results for a relaxed NbTlBiO6 crystal.

Properties
- M_tot: 0.00 μB per atom
- ΔE_f (raw): -12.51 eV per formula unit
- DOS at the Fermi energy: 7.27 states/eV per cell

a = 5.5707 Å, b = 5.5707 Å, c = 9.5735 Å
α = 90.00°, β = 90.00°, γ = 120.00°
Element x y z (fractional)
1 Nb 0.6667 0.3333 0.2500
2 Nb 0.3333 0.6667 0.7500
3 Tl 0.3333 0.6667 0.2500
4 Tl 0.6667 0.3333 0.7500
5 Bi 0.0000 0.0000 0.0000
6 Bi 0.0000 0.0000 0.5000
7 O 0.6733 0.6382 0.1314
8 O 0.9649 0.3267 0.1314
9 O 0.3267 0.9649 0.6314
10 O 0.0351 0.6733 0.8686
11 O 0.3618 0.3267 0.3686
12 O 0.9649 0.6382 0.3686
13 O 0.6382 0.9649 0.8686
14 O 0.6733 0.0351 0.3686
15 O 0.0351 0.3618 0.6314
16 O 0.3618 0.0351 0.1314
17 O 0.6382 0.6733 0.6314
18 O 0.3267 0.3618 0.8686



8.
DFT (PBE) results for a relaxed Nb3Tl4BiO12 crystal.

Properties
- M_tot: 0.00 μB per atom
- ΔE_f (raw): -32.73 eV per formula unit
- DOS at the Fermi energy: 7.07 states/eV per cell

a = 7.2375 Å, b = 7.2375 Å, c = 7.2375 Å
α = 109.47°, β = 109.47°, γ = 109.47°
Element x y z (fractional)
1 Nb 0.5000 0.0000 0.5000
2 Nb 0.5000 0.5000 0.0000
3 Nb 0.0000 0.5000 0.5000
4 Tl 0.5000 0.5000 0.5000
5 Tl 0.0000 0.0000 0.5000
6 Tl 0.5000 0.0000 0.0000
7 Tl 0.0000 0.5000 0.0000
8 Bi 0.0000 0.0000 0.0000
9 O 0.2500 0.5000 0.7500
10 O 0.7343 0.0000 0.7343
11 O 0.2657 0.0000 0.2657
12 O 0.7500 0.5000 0.2500
13 O 0.7343 0.7343 0.0000
14 O 0.2657 0.2657 0.0000
15 O 0.7500 0.2500 0.5000
16 O 0.2500 0.7500 0.5000
17 O 0.5000 0.2500 0.7500
18 O 0.0000 0.7343 0.7343
19 O 0.5000 0.7500 0.2500
20 O 0.0000 0.2657 0.2657



9.
DFT (PBE) results for a relaxed TmNbBi2O8 crystal.

Properties
- M_tot: 0.00 μB per atom
- ΔE_f (raw): -23.81 eV per formula unit
- DOS at the Fermi energy: 3.54 states/eV per cell

a = 5.0659 Å, b = 5.0651 Å, c = 6.8273 Å
α = 90.00°, β = 90.00°, γ = 89.72°
Element x y z (fractional)
1 Tm 0.0000 0.0000 0.5000
2 Nb 0.0000 0.0000 0.0000
3 Bi 0.5000 0.5000 0.7531
4 Bi 0.5000 0.5000 0.2469
5 O 0.1823 0.8175 0.2270
6 O 0.7140 0.7143 0.0000
7 O 0.8177 0.1825 0.2270
8 O 0.8177 0.1825 0.7730
9 O 0.2860 0.2857 0.0000
10 O 0.1823 0.8175 0.7730
11 O 0.6915 0.6916 0.5000
12 O 0.3085 0.3084 0.5000



10.
DFT (PBE) results for a relaxed YNbBi2O8 crystal.

Properties
- M_tot: 0.00 μB per atom
- ΔE_f (raw): -23.57 eV per formula unit
- DOS at the Fermi energy: 3.49 states/eV per cell

a = 5.0845 Å, b = 5.0802 Å, c = 6.8792 Å
α = 90.00°, β = 90.00°, γ = 89.62°
Element x y z (fractional)
1 Y 0.0000 0.0000 0.5000
2 Nb 0.0000 0.0000 0.0000
3 Bi 0.5000 0.5000 0.7547
4 Bi 0.5000 0.5000 0.2453
5 O 0.1829 0.8159 0.2229
6 O 0.7134 0.7146 0.0000
7 O 0.8171 0.1841 0.2229
8 O 0.8171 0.1841 0.7771
9 O 0.2866 0.2854 0.0000
10 O 0.1829 0.8159 0.7771
11 O 0.6869 0.6882 0.5000
12 O 0.3131 0.3118 0.5000



11.
DFT (PBE) results for a relaxed NbZnBi2O6 crystal.

Properties
- M_tot: 0.00 μB per atom
- ΔE_f (raw): -15.53 eV per formula unit
- DOS at the Fermi energy: 4.17 states/eV per cell

a = 5.9325 Å, b = 5.5577 Å, c = 8.0478 Å
α = 90.00°, β = 89.73°, γ = 90.00°
Element x y z (fractional)
1 Nb 0.0000 0.5000 0.5000
2 Nb 0.5000 0.0000 0.0000
3 Zn 0.0000 0.5000 0.0000
4 Zn 0.5000 0.0000 0.5000
5 Bi 0.9714 0.9769 0.2547
6 Bi 0.5286 0.4769 0.2453
7 Bi 0.4714 0.5231 0.7547
8 Bi 0.0286 0.0231 0.7453
9 O 0.8966 0.4799 0.7350
10 O 0.7655 0.2303 0.0673
11 O 0.7545 0.2483 0.4256
12 O 0.7455 0.7483 0.0744
13 O 0.7345 0.7303 0.4327
14 O 0.6034 0.9799 0.7650
15 O 0.3966 0.0201 0.2350
16 O 0.2655 0.2697 0.5673
17 O 0.2545 0.2517 0.9256
18 O 0.2345 0.7697 0.9327
19 O 0.2455 0.7517 0.5744
20 O 0.1034 0.5201 0.2650



12.
DFT (PBE) results for a relaxed Nb2Zn2BiO8 crystal.

Properties
- M_tot: 0.08 μB per atom
- ΔE_f (raw): -24.69 eV per formula unit
- DOS at the Fermi energy: 5.41 states/eV per cell

a = 10.8649 Å, b = 10.8649 Å, c = 5.4838 Å
α = 87.26°, β = 87.26°, γ = 31.50°
Last column: magnetic moment on the atom in μB.
Element x y z (fractional)
1 Nb 0.0395 0.7161 0.2010  0.46
2 Nb 0.2839 0.9605 0.2990  0.46
3 Nb 0.9605 0.2839 0.7990  0.46
4 Nb 0.7161 0.0395 0.7010  0.46
5 Zn 0.8738 0.5626 0.2895  0.01
6 Zn 0.4374 0.1262 0.2105  0.01
7 Zn 0.1262 0.4374 0.7105  0.01
8 Zn 0.5626 0.8738 0.7895  0.01
9 Bi 0.7049 0.2951 0.2500  0.04
10 Bi 0.2951 0.7049 0.7500  0.04
11 O 0.0082 0.8483 0.5028  -0.02
12 O 0.1517 0.9918 0.9972  -0.02
13 O 0.9918 0.1517 0.4972  -0.02
14 O 0.8483 0.0082 0.0028  -0.02
15 O 0.3364 0.5389 0.1070  -0.01
16 O 0.4611 0.6636 0.3930  -0.01
17 O 0.6636 0.4611 0.8930  -0.01
18 O 0.5389 0.3364 0.6070  -0.01
19 O 0.9416 0.7120 0.8961  -0.01
20 O 0.2880 0.0584 0.6039  -0.01
21 O 0.4497 0.1502 0.8418  0.00
22 O 0.8498 0.5503 0.6582  0.00
23 O 0.5503 0.8498 0.1582  0.00
24 O 0.1502 0.4497 0.3418  0.00
25 O 0.7120 0.9416 0.3961  -0.01
26 O 0.0584 0.2880 0.1039  -0.01



Copy entry 4 word for word.
DFT (PBE) results for a relaxed TiNbBiO6 crystal.

Properties
- M_tot: 0.00 μB per atom
- ΔE_f (raw): -21.34 eV per formula unit
- DOS at the Fermi energy: 0.00 states/eV per cell

a = 5.2712 Å, b = 5.2712 Å, c = 9.9847 Å
α = 90.00°, β = 90.00°, γ = 120.00°
Element x y z (fractional)
1 Ti 0.3333 0.6667 0.2500
2 Ti 0.6667 0.3333 0.7500
3 Nb 0.6667 0.3333 0.2500
4 Nb 0.3333 0.6667 0.7500
5 Bi 0.0000 0.0000 0.0000
6 Bi 0.0000 0.0000 0.5000
7 O 0.6301 0.6354 0.1410
8 O 0.0052 0.3699 0.1410
9 O 0.3699 0.0052 0.6410
10 O 0.9948 0.6301 0.8590
11 O 0.3646 0.3699 0.3590
12 O 0.0052 0.6354 0.3590
13 O 0.6354 0.0052 0.8590
14 O 0.6301 0.9948 0.3590
15 O 0.9948 0.3646 0.6410
16 O 0.3646 0.9948 0.1410
17 O 0.6354 0.6301 0.6410
18 O 0.3699 0.3646 0.8590